# 1
{"formula": "La4CePm4", "functional": "PBE-GGA", "state": "relaxed", "cell": [[-5.506, 5.506, 2.588], [5.506, -5.506, 2.588], [5.506, 5.506, -2.588]], "species": ["La", "La", "La", "La", "Ce", "Pm", "Pm", "Pm", "Pm"], "fractional_positions": [[0.162, 0.162, 0.323], [0.162, 0.838, 0.000], [0.838, 0.162, 0.000], [0.838, 0.838, 0.677], [0.500, 0.500, 0.000], [0.168, 0.500, 0.668], [0.500, 0.168, 0.668], [0.500, 0.832, 0.332], [0.832, 0.500, 0.332]], "density_g_cm3": 6.75, "final_energy_ev_per_atom": -4.920, "total_magnetization_mub_per_fu": 0.617}


# 2
{"formula": "La8CePm3", "functional": "PBE-GGA", "state": "relaxed", "cell": [[-4.434, 4.434, 5.844], [4.434, -4.434, 5.844], [4.434, 4.434, -5.844]], "species": ["La", "La", "La", "La", "La", "La", "La", "La", "Ce", "Pm", "Pm", "Pm"], "fractional_positions": [[0.123, 0.123, 0.762], [0.214, 0.214, 0.468], [0.254, 0.786, 0.000], [0.361, 0.361, 0.238], [0.639, 0.877, 0.000], [0.746, 0.746, 0.532], [0.786, 0.254, 0.000], [0.877, 0.639, 0.000], [0.000, 0.000, 0.000], [0.250, 0.750, 0.500], [0.500, 0.500, 0.000], [0.750, 0.250, 0.500]], "density_g_cm3": 6.09, "final_energy_ev_per_atom": -4.524, "total_magnetization_mub_per_fu": 0.000}


# 3
{"formula": "La9CePm2", "functional": "PBE-GGA", "state": "relaxed", "cell": [[5.213, 0.000, 0.000], [0.000, 5.213, 0.000], [0.000, 0.000, 15.647]], "species": ["La", "La", "La", "La", "La", "La", "La", "La", "La", "Ce", "Pm", "Pm"], "fractional_positions": [[0.000, 0.000, 0.000], [0.000, 0.000, 0.332], [0.000, 0.000, 0.668], [0.000, 0.500, 0.161], [0.000, 0.500, 0.500], [0.000, 0.500, 0.839], [0.500, 0.000, 0.161], [0.500, 0.000, 0.500], [0.500, 0.000, 0.839], [0.500, 0.500, 0.000], [0.500, 0.500, 0.333], [0.500, 0.500, 0.667]], "density_g_cm3": 6.56, "final_energy_ev_per_atom": -4.958, "total_magnetization_mub_per_fu": 1.074}


# 4
{"formula": "La6CePm", "functional": "PBE-GGA", "state": "relaxed", "cell": [[5.197, 0.000, 0.000], [0.000, 5.197, 0.000], [0.000, 0.000, 10.404]], "species": ["La", "La", "La", "La", "La", "La", "Ce", "Pm"], "fractional_positions": [[0.000, 0.000, 0.000], [0.000, 0.000, 0.500], [0.000, 0.500, 0.244], [0.000, 0.500, 0.756], [0.500, 0.000, 0.244], [0.500, 0.000, 0.756], [0.500, 0.500, 0.000], [0.500, 0.500, 0.500]], "de_polymorph_mev_per_atom": 0, "density_g_cm3": 6.61, "total_magnetization_mub_per_fu": 1.129}


# 5
{"formula": "La3CePm4", "functional": "PBE-GGA", "state": "relaxed", "cell": [[25.982, 0.000, 0.000], [0.000, 3.487, 0.000], [-0.596, 0.000, 6.183]], "species": ["La", "La", "La", "La", "La", "La", "Ce", "Ce", "Pm", "Pm", "Pm", "Pm", "Pm", "Pm", "Pm", "Pm"], "fractional_positions": [[0.000, 0.000, 0.000], [0.145, 0.000, 0.232], [0.355, 0.500, 0.768], [0.500, 0.500, 0.000], [0.645, 0.500, 0.232], [0.855, 0.000, 0.768], [0.000, 0.500, 0.500], [0.500, 0.000, 0.500], [0.104, 0.000, 0.715], [0.221, 0.500, 0.739], [0.279, 0.000, 0.261], [0.396, 0.500, 0.285], [0.604, 0.500, 0.715], [0.721, 0.000, 0.739], [0.779, 0.500, 0.261], [0.896, 0.000, 0.285]], "density_g_cm3": 6.74, "final_energy_ev_per_atom": -4.760, "total_magnetization_mub_per_fu": 0.825}


# 6
{"formula": "La2CePm6", "functional": "PBE-GGA", "state": "relaxed", "cell": [[4.228, -6.889, 0.000], [4.228, 6.889, 0.000], [0.000, 0.000, 5.545]], "species": ["La", "La", "Ce", "Pm", "Pm", "Pm", "Pm", "Pm", "Pm"], "fractional_positions": [[0.217, 0.783, 0.000], [0.783, 0.217, 0.000], [0.000, 0.000, 0.500], [0.170, 0.442, 0.500], [0.278, 0.278, 0.000], [0.442, 0.170, 0.500], [0.558, 0.830, 0.500], [0.722, 0.722, 0.000], [0.830, 0.558, 0.500]], "density_g_cm3": 6.62, "final_energy_ev_per_atom": -4.661, "total_magnetization_mub_per_fu": 1.613}


# 7
{"formula": "La4CePm6", "functional": "PBE-GGA", "state": "relaxed", "cell": [[8.846, 0.000, 0.000], [0.000, 8.846, 0.000], [0.000, 0.000, 9.787]], "species": ["La", "La", "La", "La", "La", "La", "La", "La", "Ce", "Ce", "Pm", "Pm", "Pm", "Pm", "Pm", "Pm", "Pm", "Pm", "Pm", "Pm", "Pm", "Pm"], "fractional_positions": [[0.140, 0.360, 0.250], [0.140, 0.360, 0.750], [0.360, 0.860, 0.250], [0.360, 0.860, 0.750], [0.640, 0.140, 0.250], [0.640, 0.140, 0.750], [0.860, 0.640, 0.250], [0.860, 0.640, 0.750], [0.000, 0.000, 0.000], [0.500, 0.500, 0.500], [0.000, 0.000, 0.329], [0.000, 0.000, 0.671], [0.158, 0.660, 0.000], [0.160, 0.658, 0.500], [0.340, 0.158, 0.000], [0.342, 0.160, 0.500], [0.500, 0.500, 0.171], [0.500, 0.500, 0.829], [0.658, 0.840, 0.500], [0.660, 0.842, 0.000], [0.840, 0.342, 0.500], [0.842, 0.340, 0.000]], "density_g_cm3": 6.79, "final_energy_ev_per_atom": -4.784, "total_magnetization_mub_per_fu": 1.211}


# 8
{"formula": "La4CePm3", "functional": "PBE-GGA", "state": "relaxed", "cell": [[25.846, 0.000, 0.000], [0.000, 3.487, 0.000], [-0.700, 0.000, 6.184]], "species": ["La", "La", "La", "La", "La", "La", "La", "La", "Ce", "Ce", "Pm", "Pm", "Pm", "Pm", "Pm", "Pm"], "fractional_positions": [[0.101, 0.000, 0.208], [0.220, 0.500, 0.235], [0.280, 0.000, 0.765], [0.399, 0.500, 0.792], [0.601, 0.500, 0.208], [0.720, 0.000, 0.235], [0.780, 0.500, 0.765], [0.899, 0.000, 0.792], [0.000, 0.500, 0.000], [0.500, 0.000, 0.000], [0.000, 0.000, 0.500], [0.143, 0.000, 0.726], [0.357, 0.500, 0.274], [0.500, 0.500, 0.500], [0.643, 0.500, 0.726], [0.857, 0.000, 0.274]], "density_g_cm3": 6.74, "final_energy_ev_per_atom": -4.775, "total_magnetization_mub_per_fu": 0.341}


# 9
{"formula": "La2CePm3", "functional": "PBE-GGA", "state": "relaxed", "cell": [[8.524, -3.521, 0.000], [8.524, 3.521, 0.000], [-1.481, 0.000, 6.940]], "species": ["La", "La", "La", "La", "Ce", "Ce", "Pm", "Pm", "Pm", "Pm", "Pm", "Pm"], "fractional_positions": [[0.166, 0.180, 0.085], [0.180, 0.166, 0.585], [0.820, 0.834, 0.415], [0.834, 0.820, 0.915], [0.239, 0.761, 0.250], [0.761, 0.239, 0.750], [0.215, 0.785, 0.750], [0.359, 0.370, 0.431], [0.370, 0.359, 0.931], [0.630, 0.641, 0.069], [0.641, 0.630, 0.569], [0.785, 0.215, 0.250]], "density_g_cm3": 6.80, "final_energy_ev_per_atom": -4.857, "total_magnetization_mub_per_fu": 0.759}


# 10
{"formula": "La6CePm2", "functional": "PBE-GGA", "state": "relaxed", "cell": [[3.674, 0.000, 0.000], [-1.837, 3.182, 0.000], [0.000, 0.000, 27.652]], "species": ["La", "La", "La", "La", "La", "La", "Ce", "Pm", "Pm"], "fractional_positions": [[0.000, 0.000, 0.063], [0.000, 0.000, 0.281], [0.000, 0.000, 0.719], [0.000, 0.000, 0.937], [0.333, 0.667, 0.396], [0.333, 0.667, 0.604], [0.000, 0.000, 0.500], [0.333, 0.667, 0.170], [0.333, 0.667, 0.830]], "density_g_cm3": 6.49, "final_energy_ev_per_atom": -4.921, "total_magnetization_mub_per_fu": 0.790}


# 11
{"formula": "La8CePm6", "functional": "PBE-GGA", "state": "relaxed", "cell": [[4.669, 2.696, 7.063], [-4.669, 2.696, 7.063], [0.000, -5.392, 7.063]], "species": ["La", "La", "La", "La", "La", "La", "La", "La", "Ce", "Pm", "Pm", "Pm", "Pm", "Pm", "Pm"], "fractional_positions": [[0.078, 0.078, 0.078], [0.212, 0.258, 0.616], [0.258, 0.616, 0.212], [0.384, 0.788, 0.742], [0.616, 0.212, 0.258], [0.742, 0.384, 0.788], [0.788, 0.742, 0.384], [0.922, 0.922, 0.922], [0.500, 0.500, 0.500], [0.041, 0.745, 0.596], [0.255, 0.404, 0.959], [0.404, 0.959, 0.255], [0.596, 0.041, 0.745], [0.745, 0.596, 0.041], [0.959, 0.255, 0.404]], "density_g_cm3": 6.60, "final_energy_ev_per_atom": -4.816, "total_magnetization_mub_per_fu": 1.070}


# 12
{"formula": "LaCePm2", "functional": "PBE-GGA", "state": "relaxed", "cell": [[8.219, 0.000, 0.000], [0.000, 8.219, 0.000], [0.000, 0.000, 8.219]], "species": ["La", "La", "La", "La", "Ce", "Ce", "Ce", "Ce", "Pm", "Pm", "Pm", "Pm", "Pm", "Pm", "Pm", "Pm"], "fractional_positions": [[0.000, 0.000, 0.000], [0.000, 0.500, 0.500], [0.500, 0.000, 0.500], [0.500, 0.500, 0.000], [0.000, 0.000, 0.500], [0.000, 0.500, 0.000], [0.500, 0.000, 0.000], [0.500, 0.500, 0.500], [0.250, 0.250, 0.250], [0.250, 0.250, 0.750], [0.250, 0.750, 0.250], [0.250, 0.750, 0.750], [0.750, 0.250, 0.250], [0.750, 0.250, 0.750], [0.750, 0.750, 0.250], [0.750, 0.750, 0.750]], "de_polymorph_mev_per_atom": 142, "density_g_cm3": 6.81, "total_magnetization_mub_per_fu": 1.905}